This record from the Alexandria database describes a geometry-optimized NiSe2BrO structure. The functional is GGA+U.

Computed properties:
Energy above the lowest structure with this stoichiometry = 0.141 eV/atom
Energy = -2.302 eV per atom
Space-group type = P4/mmm (123)

Lattice parameters (Å, degrees): 4.724 4.724 5.143 90.00 90.00 90.00
Site moments in Bohr magnetons follow the coordinates.
Fractional coordinates of all 5 atoms:
Se 0.000 0.500 0.000  0.49
Se 0.500 0.000 0.000  0.49
O 0.500 0.500 0.500  1.40
Br 0.000 0.000 0.500  0.32
Ni 0.000 0.000 0.000  1.02